Computed, not measured: LiTl3Cr2S6 after structural relaxation at the PBE level of DFT.

spin magnetization	4.3	μB per formula unit
crystal system	monoclinic
theoretical density	6.143	g/cm³
ΔE_f (raw)	-543	meV per atom

Unit cell a=6.3640 b=6.3640 c=7.3318 alpha=98.09 beta=98.09 gamma=119.65
Element x y z (fractional)
Li1 0.0000 0.0000 0.0000
Tl1 0.1591 0.8409 0.5000
Tl2 0.8409 0.1591 0.5000
Tl3 0.5000 0.5000 0.5000
Cr1 0.3328 0.6672 0.0000
Cr2 0.6672 0.3328 0.0000
S1 0.9383 0.5741 0.8150
S2 0.6946 0.6946 0.1731
S3 0.0617 0.4259 0.1850
S4 0.5741 0.9383 0.8150
S5 0.3054 0.3054 0.8269
S6 0.4259 0.0617 0.1850

Computed, not measured: Li3TmCr2S6 after structural relaxation at the PBE level of DFT.

spin magnetization	6.0	μB per formula unit
crystal system	monoclinic
theoretical density	3.927	g/cm³
ΔE_f (raw)	-1256	meV per atom

Unit cell a=6.2473 b=6.2473 c=6.4282 alpha=99.32 beta=99.32 gamma=120.01
Element x y z (fractional)
Li1 0.1663 0.8337 0.5000
Li2 0.8337 0.1663 0.5000
Li3 0.5000 0.5000 0.5000
Tm1 0.0000 0.0000 0.0000
Cr1 0.3331 0.6669 0.0000
Cr2 0.6669 0.3331 0.0000
S1 0.9232 0.5618 0.7688
S2 0.7172 0.7172 0.2341
S3 0.0768 0.4382 0.2312
S4 0.5618 0.9232 0.7688
S5 0.2828 0.2828 0.7659
S6 0.4381 0.0768 0.2312

Computed, not measured: Li3Tm3CrS8 after structural relaxation at the PBE level of DFT.

spin magnetization	2.1	μB per formula unit
crystal system	trigonal
theoretical density	4.589	g/cm³
ΔE_f (raw)	-1542	meV per atom

Unit cell a=7.5390 b=7.5389 c=7.5331 alpha=120.04 beta=90.00 gamma=120.00
Element x y z (fractional)
Li1 0.0000 0.0000 0.0000
Li2 0.0000 0.5000 0.0000
Li3 0.5000 0.5000 0.0000
Tm1 0.5000 0.0000 0.5000
Tm2 0.5000 0.5000 0.5000
Tm3 0.0000 0.5000 0.5000
Cr1 0.0000 0.0000 0.5000
S1 0.2492 0.4985 0.2479
S2 0.7508 0.5015 0.7521
S3 0.7708 0.5415 0.2674
S4 0.2292 0.4585 0.7326
S5 0.7708 0.9966 0.2675
S6 0.2292 0.0034 0.7325
S7 0.2258 0.9966 0.2675
S8 0.7742 0.0034 0.7325

Computed, not measured: Li4U3CrS8 after structural relaxation at the PBE level of DFT.

spin magnetization	12.0	μB per formula unit
crystal system	trigonal
theoretical density	5.619	g/cm³
ΔE_f (raw)	-1262	meV per atom

Unit cell a=7.5767 b=7.6241 c=7.5768 alpha=119.80 beta=120.00 gamma=90.00
Element x y z (fractional)
Li1 0.5000 0.0000 0.0000
Li2 0.5000 0.0000 0.5000
Li3 0.0000 0.0000 0.0000
Li4 0.0000 0.0000 0.5000
U1 0.5000 0.5000 0.0000
U2 0.5000 0.5000 0.5000
U3 0.0000 0.5000 0.5000
Cr1 0.0000 0.5000 0.0000
S1 0.2429 0.7485 0.0056
S2 0.2429 0.7485 0.4859
S3 0.2456 0.2369 0.4912
S4 0.7627 0.7485 0.0056
S5 0.2373 0.2515 0.9944
S6 0.7544 0.7631 0.5088
S7 0.7571 0.2515 0.5141
S8 0.7571 0.2515 0.9944

Computed, not measured: Li3U2CrS6 after structural relaxation at the PBE level of DFT.

spin magnetization	0.7	μB per formula unit
crystal system	monoclinic
theoretical density	5.418	g/cm³
ΔE_f (raw)	-1217	meV per atom

Unit cell a=6.4948 b=6.4948 c=6.5859 alpha=99.32 beta=99.32 gamma=120.16
Element x y z (fractional)
Li1 0.1632 0.8368 0.5000
Li2 0.8368 0.1632 0.5000
Li3 0.5000 0.5000 0.5000
U1 0.3316 0.6684 0.0000
U2 0.6684 0.3316 0.0000
Cr1 0.0000 0.0000 0.0000
S1 0.9148 0.5951 0.7476
S2 0.7654 0.7654 0.2432
S3 0.0852 0.4049 0.2524
S4 0.5951 0.9148 0.7476
S5 0.2346 0.2346 0.7568
S6 0.4049 0.0852 0.2524

Computed, not measured: LiUCrS4 after structural relaxation at the PBE level of DFT.

spin magnetization	5.0	μB per formula unit
crystal system	orthorhombic
theoretical density	4.780	g/cm³
ΔE_f (raw)	-1136	meV per atom

Unit cell a=7.3183 b=7.3977 c=7.3977 alpha=65.97 beta=60.35 gamma=60.35
Element x y z (fractional)
Li1 0.6489 0.6011 0.1011
Li2 0.3511 0.3989 0.8989
U1 0.0000 0.0000 0.0000
U2 0.0000 0.5000 0.5000
Cr1 0.5000 0.0000 0.5000
Cr2 0.0000 0.0000 0.5000
S1 0.7390 0.8059 0.7160
S2 0.2610 0.7840 0.6941
S3 0.7390 0.2160 0.3059
S4 0.2610 0.1941 0.2840
S5 0.2379 0.7521 0.2521
S6 0.7579 0.7521 0.2521
S7 0.2421 0.2479 0.7479
S8 0.7621 0.2479 0.7479

Computed, not measured: Li3UCr2S6 after structural relaxation at the PBE level of DFT.

spin magnetization	3.0	μB per formula unit
crystal system	monoclinic
theoretical density	4.561	g/cm³
ΔE_f (raw)	-1094	meV per atom

Unit cell a=6.1417 b=6.1417 c=6.5224 alpha=99.12 beta=99.12 gamma=119.97
Element x y z (fractional)
Li1 0.1632 0.8368 0.5000
Li2 0.8368 0.1632 0.5000
Li3 0.5000 0.5000 0.5000
U1 0.0000 0.0000 0.0000
Cr1 0.3333 0.6667 0.0000
Cr2 0.6667 0.3333 0.0000
S1 0.9220 0.5573 0.7666
S2 0.7151 0.7151 0.2357
S3 0.0780 0.4427 0.2334
S4 0.5573 0.9220 0.7666
S5 0.2849 0.2849 0.7643
S6 0.4427 0.0780 0.2334

Computed, not measured: Li2U2CrS6 after structural relaxation at the PBE level of DFT.

spin magnetization	2.1	μB per formula unit
crystal system	monoclinic
theoretical density	5.427	g/cm³
ΔE_f (raw)	-1197	meV per atom

Unit cell a=6.4050 b=6.4050 c=6.5841 alpha=98.67 beta=98.67 gamma=119.36
Element x y z (fractional)
Li1 0.8416 0.1584 0.0000
Li2 0.1584 0.8416 0.0000
U1 0.3363 0.6637 0.5000
U2 0.6637 0.3363 0.5000
Cr1 0.0000 0.0000 0.5000
S1 0.7772 0.7772 0.7412
S2 0.0709 0.3812 0.7380
S3 0.2228 0.2228 0.2588
S4 0.3812 0.0709 0.7380
S5 0.9291 0.6188 0.2620
S6 0.6188 0.9291 0.2620

Computed, not measured: Li2VCrS4 after structural relaxation at the PBE level of DFT.

spin magnetization	5.0	μB per formula unit
crystal system	monoclinic
theoretical density	3.196	g/cm³
ΔE_f (raw)	-1034	meV per atom

Unit cell a=6.9448 b=6.9448 c=6.1313 alpha=63.98 beta=63.98 gamma=28.88
Element x y z (fractional)
Li1 0.2497 0.2497 0.7499
Li2 0.7503 0.7503 0.2501
V1 0.5000 0.5000 0.5000
Cr1 0.0000 0.0000 0.0000
S1 0.8867 0.8867 0.7838
S2 0.3878 0.3878 0.2777
S3 0.1133 0.1133 0.2162
S4 0.6122 0.6122 0.7223

Computed, not measured: Li3YCr2S6 after structural relaxation at the PBE level of DFT.

spin magnetization	6.0	μB per formula unit
crystal system	monoclinic
theoretical density	3.241	g/cm³
ΔE_f (raw)	-1247	meV per atom

Unit cell a=6.2764 b=6.2764 c=6.4484 alpha=99.35 beta=99.35 gamma=119.98
Element x y z (fractional)
Li1 0.1657 0.8343 0.5000
Li2 0.8343 0.1657 0.5000
Li3 0.5000 0.5000 0.5000
Y1 0.0000 0.0000 0.0000
Cr1 0.3330 0.6670 0.0000
Cr2 0.6670 0.3330 0.0000
S1 0.9229 0.5574 0.7681
S2 0.7138 0.7138 0.2350
S3 0.0771 0.4426 0.2319
S4 0.5574 0.9229 0.7681
S5 0.2862 0.2862 0.7650
S6 0.4426 0.0771 0.2319

Computed, not measured: LiZrCr2S after structural relaxation at the PBE level of DFT.

spin magnetization	8.3	μB per formula unit
crystal system	tetragonal
theoretical density	2.987	g/cm³
ΔE_f (raw)	823	meV per atom

Unit cell a=5.1462 b=4.9168 c=5.1462 alpha=90.00 beta=90.00 gamma=90.00
Element x y z (fractional)
Cr1 0.0000 0.0000 0.5000
Cr2 0.5000 0.0000 0.0000
S1 0.0000 0.5000 0.0000
Zr1 0.0000 0.0000 0.0000
Li1 0.5000 0.5000 0.5000

Computed, not measured: Li3ZrCr2S6 after structural relaxation at the PBE level of DFT.

spin magnetization	4.9	μB per formula unit
crystal system	monoclinic
theoretical density	3.463	g/cm³
ΔE_f (raw)	-1148	meV per atom

Unit cell a=6.0735 b=6.0735 c=6.4565 alpha=99.05 beta=99.05 gamma=119.98
Element x y z (fractional)
Li1 0.1633 0.8367 0.5000
Li2 0.8367 0.1633 0.5000
Li3 0.5000 0.5000 0.5000
Zr1 0.0000 0.0000 0.0000
Cr1 0.3331 0.6669 0.0000
Cr2 0.6669 0.3331 0.0000
S1 0.9224 0.5679 0.7673
S2 0.7241 0.7241 0.2341
S3 0.0776 0.4321 0.2327
S4 0.5679 0.9224 0.7673
S5 0.2759 0.2759 0.7659
S6 0.4321 0.0776 0.2327

Computed, not measured: Li2Zr2CrS6 after structural relaxation at the PBE level of DFT.

spin magnetization	2.0	μB per formula unit
crystal system	monoclinic
theoretical density	3.552	g/cm³
ΔE_f (raw)	-1324	meV per atom

Unit cell a=6.1693 b=6.1693 c=6.5685 alpha=98.94 beta=98.94 gamma=119.90
Element x y z (fractional)
Li1 0.8304 0.1696 0.0000
Li2 0.1696 0.8304 0.0000
Zr1 0.3341 0.6659 0.5000
Zr2 0.6659 0.3341 0.5000
Cr1 0.0000 0.0000 0.5000
S1 0.7662 0.7662 0.7373
S2 0.0783 0.3950 0.7378
S3 0.2338 0.2338 0.2627
S4 0.3950 0.0783 0.7378
S5 0.9217 0.6050 0.2622
S6 0.6050 0.9217 0.2622

Computed, not measured: LiZrCrS4 after structural relaxation at the PBE level of DFT.

spin magnetization	3.0	μB per formula unit
crystal system	orthorhombic
theoretical density	3.318	g/cm³
ΔE_f (raw)	-1203	meV per atom

Unit cell a=7.3055 b=7.3076 c=7.3076 alpha=61.39 beta=60.01 gamma=60.01
Element x y z (fractional)
Li1 0.6342 0.6158 0.1158
Li2 0.3658 0.3842 0.8842
Zr1 0.0000 0.0000 0.0000
Zr2 0.0000 0.5000 0.5000
Cr1 0.5000 0.0000 0.5000
Cr2 0.0000 0.0000 0.5000
S1 0.7495 0.7829 0.7180
S2 0.2505 0.7820 0.7171
S3 0.7495 0.2180 0.2829
S4 0.2505 0.2171 0.2820
S5 0.2324 0.7606 0.2606
S6 0.7463 0.7606 0.2606
S7 0.2537 0.2394 0.7394
S8 0.7676 0.2394 0.7394

Computed, not measured: LiCr2Sb after structural relaxation at the PBE level of DFT.

spin magnetization	0.0	μB per formula unit
crystal system	cubic
theoretical density	6.305	g/cm³
ΔE_f (raw)	17	meV per atom

Unit cell a=4.4255 b=4.4255 c=4.4256 alpha=60.00 beta=60.00 gamma=60.00
Element x y z (fractional)
Cr1 0.0000 0.0000 0.9999
Cr2 0.7499 0.7499 0.7501
Li1 0.5000 0.5000 0.5000
Sb1 0.2500 0.2500 0.2500

Computed, not measured: LiCr2Sb after structural relaxation at the PBE level of DFT.

spin magnetization	2.7	μB per formula unit
crystal system	monoclinic
theoretical density	6.453	g/cm³
ΔE_f (raw)	532	meV per atom

Unit cell a=4.8520 b=5.0905 c=2.8615 alpha=79.18 beta=78.70 gamma=114.93
Element x y z (fractional)
Cr1 0.0000 0.0000 0.0000
Cr2 0.5000 0.0000 0.5000
Li1 0.0000 0.5000 0.5000
Sb1 0.5000 0.5000 0.0000

Computed, not measured: LiCrSb2 after structural relaxation at the PBE level of DFT.

offset from the most stable computed form	76	meV/atom
spin magnetization	3.4	μB per formula unit
crystal system	tetragonal
theoretical density	6.144	g/cm³
ΔE_f (raw)	18	meV per atom

Unit cell a=5.7642 b=5.7642 c=5.7642 alpha=138.96 beta=138.96 gamma=59.43
Element x y z (fractional)
Cr1 0.5000 0.5000 0.0000
Li1 0.7500 0.2500 0.5000
Sb1 0.0000 0.0000 0.0000
Sb2 0.2500 0.7500 0.5000

Computed, not measured: LiCrSb2 after structural relaxation at the PBE level of DFT.

offset from the most stable computed form	57	meV/atom
spin magnetization	3.4	μB per formula unit
crystal system	cubic
theoretical density	6.022	g/cm³
ΔE_f (raw)	0	meV per atom

Unit cell a=4.9041 b=4.9041 c=4.9041 alpha=60.00 beta=60.00 gamma=60.00
Element x y z (fractional)
Sb1 0.2500 0.2500 0.2500
Sb2 0.7500 0.7500 0.7500
Li1 0.0000 0.0000 0.0000
Cr1 0.5000 0.5000 0.5000

Computed, not measured: LiCrSb2 after structural relaxation at the PBE level of DFT.

offset from the most stable computed form	63	meV/atom
spin magnetization	0.9	μB per formula unit
crystal system	monoclinic
theoretical density	6.312	g/cm³
ΔE_f (raw)	5	meV per atom

Unit cell a=3.2027 b=3.2256 c=8.0235 alpha=73.72 beta=90.00 gamma=90.00
Element x y z (fractional)
Cr1 0.5000 0.2500 0.2500
Li1 0.5000 0.7500 0.7500
Sb1 0.0000 0.9177 0.0373
Sb2 0.0000 0.5823 0.4627

Computed, not measured: LiCrSb2 after structural relaxation at the PBE level of DFT.

offset from the most stable computed form	26	meV/atom
spin magnetization	3.4	μB per formula unit
crystal system	orthorhombic
theoretical density	5.604	g/cm³
ΔE_f (raw)	-32	meV per atom

Unit cell a=8.4684 b=8.4684 c=8.4684 alpha=157.33 beta=157.47 gamma=32.18
Element x y z (fractional)
Cr1 0.5518 0.5518 0.0000
Li1 0.3039 0.8039 0.5000
Sb1 0.9546 0.9546 0.0000
Sb2 0.6897 0.1897 0.5000

Computed, not measured: LiCrSb2 after structural relaxation at the PBE level of DFT.

offset from the most stable computed form	23	meV/atom
spin magnetization	1.4	μB per formula unit
crystal system	trigonal
theoretical density	6.158	g/cm³
ΔE_f (raw)	-35	meV per atom

Unit cell a=8.4462 b=8.4462 c=8.4462 alpha=23.12 beta=23.12 gamma=23.12
Element x y z (fractional)
Cr1 0.2500 0.2500 0.2500
Li1 0.7500 0.7500 0.7500
Sb1 0.9916 0.9916 0.9916
Sb2 0.5084 0.5084 0.5084

Computed, not measured: LiCrSb2 after structural relaxation at the PBE level of DFT.

offset from the most stable computed form	412	meV/atom
spin magnetization	1.0	μB per formula unit
crystal system	tetragonal
theoretical density	4.163	g/cm³
ΔE_f (raw)	355	meV per atom

Unit cell a=6.5363 b=6.5363 c=7.2975 alpha=63.39 beta=63.39 gamma=90.00
Element x y z (fractional)
Sb1 0.6679 0.1250 0.2500
Sb2 0.0821 0.6250 0.2500
Sb3 0.3750 0.3321 0.7500
Sb4 0.8750 0.9179 0.7500
Li1 0.5000 0.5000 0.0000
Li2 0.2500 0.7500 0.5000
Cr1 0.0000 0.0000 0.0000
Cr2 0.7500 0.2500 0.5000

Computed, not measured: LiCr2Sb after structural relaxation at the PBE level of DFT.

spin magnetization	7.4	μB per formula unit
crystal system	tetragonal
theoretical density	5.629	g/cm³
ΔE_f (raw)	257	meV per atom

Unit cell a=4.1717 b=4.1726 c=3.9436 alpha=90.00 beta=90.00 gamma=90.00
Element x y z (fractional)
Cr1 0.0000 0.0000 0.0000
Cr2 0.5000 0.5000 0.0000
Li1 0.5000 0.0000 0.5000
Sb1 0.0000 0.5000 0.5000

Computed, not measured: LiCrSb2 after structural relaxation at the PBE level of DFT.

offset from the most stable computed form	347	meV/atom
spin magnetization	4.2	μB per formula unit
crystal system	cubic
theoretical density	5.561	g/cm³
ΔE_f (raw)	289	meV per atom

Unit cell a=5.0360 b=5.0360 c=5.0360 alpha=60.00 beta=60.00 gamma=60.00
Element x y z (fractional)
Cr1 0.5000 0.5000 0.5000
Li1 0.2500 0.2500 0.2500
Sb1 0.0000 0.0000 0.0000
Sb2 0.7500 0.7500 0.7500